## LiAsRu3 (GGA-PBE)

Data for an optimized crystal structure of LiAsRu3.

Unit cell a=4.559 b=4.559 c=4.559 alpha=90.00 beta=90.00 gamma=90.00
Site moments in Bohr magnetons follow the coordinates.
Sites, in units of the cell vectors:
As1 0.000 0.000 0.000  -0.05
Ru1 0.000 0.000 0.500  1.03
Ru2 0.500 0.000 0.000  0.76
Li1 0.500 0.500 0.500  -0.02
Ru3 0.000 0.500 0.000  0.98

The formation energy comes out at 4.241 eV/f.u.

---

## LiAsRu2 (GGA-PBE)

Data for an optimized crystal structure of LiAsRu2.

Unit cell a=2.773 b=2.773 c=8.762 alpha=90.00 beta=90.00 gamma=117.57
Site moments in Bohr magnetons follow the coordinates.
Sites, in units of the cell vectors:
Ru1 0.500 0.500 0.255  0.16
Li1 0.500 0.500 0.751  -0.01
Ru2 0.000 0.000 0.003  0.45
As1 0.000 0.000 0.491  0.00

The formation energy comes out at 0.983 eV/f.u.

---

## LiAsRu2 (GGA-PBE)

Data for an optimized crystal structure of LiAsRu2.

Unit cell a=2.825 b=3.847 c=5.104 alpha=90.00 beta=90.00 gamma=90.00
Sites, in units of the cell vectors:
Li1 0.500 0.500 0.745
As1 0.000 0.000 0.508
Ru1 0.000 0.000 0.007
Ru2 0.500 0.500 0.240

The formation energy comes out at -0.014 eV/f.u.

---

## LiAsRu2 (GGA-PBE)

Data for an optimized crystal structure of LiAsRu2.

Unit cell a=4.505 b=4.505 c=4.505 alpha=128.40 beta=128.40 gamma=75.98
Sites, in units of the cell vectors:
As1 0.500 0.500 0.000
Ru1 0.000 0.000 0.000
Li1 0.750 0.250 0.500
Ru2 0.250 0.750 0.500

The formation energy comes out at 0.063 eV/f.u.

---

## Li4AsRu (GGA-PBE)

Data for an optimized crystal structure of Li4AsRu.

Unit cell a=4.732 b=4.732 c=4.732 alpha=60.00 beta=60.00 gamma=60.00
Sites, in units of the cell vectors:
As1 0.000 0.000 0.000
Ru1 0.750 0.750 0.750
Li1 0.377 0.870 0.377
Li2 0.377 0.377 0.870
Li3 0.870 0.377 0.377
Li4 0.377 0.377 0.377

The formation energy comes out at 0.435 eV/f.u.

---

## LiAsRu2 (GGA-PBE)

Data for an optimized crystal structure of LiAsRu2.

Unit cell a=8.200 b=8.200 c=8.200 alpha=20.61 beta=20.61 gamma=20.61
Sites, in units of the cell vectors:
Ru1 0.991 0.991 0.991
As1 0.250 0.250 0.250
Ru2 0.509 0.509 0.509
Li1 0.750 0.750 0.750

The formation energy comes out at 0.624 eV/f.u.

---

## LiAsRu4 (GGA-PBE)

Data for an optimized crystal structure of LiAsRu4.

Unit cell a=5.129 b=5.129 c=5.129 alpha=60.00 beta=60.00 gamma=60.00
Site moments in Bohr magnetons follow the coordinates.
Sites, in units of the cell vectors:
Ru1 0.625 0.625 0.625  0.65
Ru2 0.625 0.126 0.625  0.65
Ru3 0.625 0.625 0.126  0.65
Li1 0.000 0.000 0.000  -0.01
Ru4 0.126 0.625 0.625  0.65
As1 0.250 0.250 0.250  -0.02

The formation energy comes out at 3.265 eV/f.u.

---

## LiAsRu (GGA-PBE)

Data for an optimized crystal structure of LiAsRu.

Unit cell a=4.084 b=6.951 c=4.084 alpha=107.08 beta=59.99 gamma=107.08
Sites, in units of the cell vectors:
As1 0.905 0.809 0.455
As2 0.724 0.268 0.274
Li1 0.447 0.438 0.998
Li2 0.182 0.640 0.732
Ru1 0.600 0.893 0.149
Ru2 0.030 0.184 0.580

The formation energy comes out at -1.206 eV/f.u.

---

## LiAsRu (GGA-PBE)

Data for an optimized crystal structure of LiAsRu.

Unit cell a=4.132 b=4.132 c=3.039 alpha=90.00 beta=90.00 gamma=120.00
Sites, in units of the cell vectors:
Ru1 0.667 0.333 0.833
Li1 0.333 0.667 0.332
As1 0.000 0.000 0.835

The formation energy comes out at -0.708 eV/f.u.

---

## LiAsRu (GGA-PBE)

Data for an optimized crystal structure of LiAsRu.

Unit cell a=4.684 b=4.684 c=4.684 alpha=141.03 beta=141.03 gamma=56.29
Sites, in units of the cell vectors:
Ru1 0.657 0.657 0.000
As1 0.007 0.007 0.000
Li1 0.336 0.336 0.000

The formation energy comes out at -1.123 eV/f.u.

---

## LiAsRu (GGA-PBE)

Data for an optimized crystal structure of LiAsRu.

Unit cell a=4.038 b=4.038 c=4.038 alpha=60.00 beta=60.00 gamma=60.00
Sites, in units of the cell vectors:
As1 0.750 0.750 0.750
Ru1 0.500 0.500 0.500
Li1 0.000 0.000 0.000

The formation energy comes out at -0.802 eV/f.u.

---

## LiAsRu2 (GGA-PBE)

Data for an optimized crystal structure of LiAsRu2.

Unit cell a=4.151 b=4.151 c=3.035 alpha=90.00 beta=90.00 gamma=90.00
Sites, in units of the cell vectors:
As1 0.500 0.000 0.500
Ru1 0.000 0.000 0.000
Ru2 0.500 0.500 0.000
Li1 0.000 0.500 0.500

The formation energy comes out at -0.245 eV/f.u.

---

## Li2As2Ru (GGA-PBE)

Data for an optimized crystal structure of Li2As2Ru.

Unit cell a=6.302 b=6.302 c=4.032 alpha=90.00 beta=90.00 gamma=90.00
Sites, in units of the cell vectors:
As1 0.861 0.639 0.000
As2 0.639 0.139 0.000
Li1 0.173 0.673 0.500
Li2 0.827 0.327 0.500
As3 0.139 0.361 0.000
As4 0.361 0.861 0.000
Ru1 0.000 0.000 0.000
Li3 0.327 0.173 0.500
Li4 0.673 0.827 0.500
Ru2 0.500 0.500 0.000

The formation energy comes out at -2.351 eV/f.u.

---

## LiAsRu2 (GGA-PBE)

Data for an optimized crystal structure of LiAsRu2.

Unit cell a=4.627 b=4.627 c=4.355 alpha=73.32 beta=73.32 gamma=37.26
Sites, in units of the cell vectors:
Ru1 0.998 0.998 0.944
Li1 0.748 0.748 0.789
Ru2 0.251 0.251 0.298
As1 0.503 0.503 0.469

The formation energy comes out at -0.221 eV/f.u.

---

## LiAsRu2 (GGA-PBE)

Data for an optimized crystal structure of LiAsRu2.

Unit cell a=2.883 b=2.883 c=8.144 alpha=90.00 beta=90.00 gamma=116.85
Sites, in units of the cell vectors:
Li1 0.500 0.500 0.750
Ru1 0.000 0.000 0.022
Ru2 0.000 0.000 0.478
As1 0.500 0.500 0.250

The formation energy comes out at 1.217 eV/f.u.